P) Material: Nd2Al5Zn3
Method: DFT, GGA-PBE
State: relaxed

abc: 4.2369 4.2369 11.0204
angles: 90.00 90.00 90.00
Fractional positions:
Nd1 0.5000 0.0000 0.2501
Nd2 0.0000 0.5000 0.7499
Al1 0.5000 0.5000 0.0000
Al2 0.0000 0.0000 0.0000
Al3 0.5000 0.0000 0.8540
Al4 0.0000 0.5000 0.1460
Al5 0.5000 0.5000 0.5000
Zn1 0.5000 0.0000 0.6312
Zn2 0.0000 0.5000 0.3688
Zn3 0.0000 0.0000 0.5000

## Properties
Magnetic moment ... 0.00 μB per formula unit
Crystal system ... tetragonal

---

Q) Material: Nd2Al5Zn3
Method: DFT, GGA-PBE
State: relaxed

abc: 5.9933 8.6488 8.6488
angles: 78.35 69.73 69.73
Fractional positions:
Nd1 0.1265 0.6249 0.1221
Nd2 0.6265 0.1221 0.6249
Nd3 0.8735 0.3751 0.8779
Nd4 0.3735 0.8779 0.3751
Al1 0.3782 0.2587 0.9849
Al2 0.8782 0.9849 0.2587
Al3 0.6218 0.7413 0.0151
Al4 0.1218 0.0151 0.7413
Al5 0.5048 0.7452 0.7452
Al6 0.4952 0.2548 0.2548
Al7 0.7500 0.5000 0.5000
Al8 0.2500 0.5000 0.5000
Al9 0.9952 0.2548 0.2548
Al10 0.0048 0.7452 0.7452
Zn1 0.3774 0.4844 0.7608
Zn2 0.8774 0.7608 0.4844
Zn3 0.6226 0.5156 0.2392
Zn4 0.1226 0.2392 0.5156
Zn5 0.2500 0.0000 0.0000
Zn6 0.7500 0.0000 0.0000

## Properties
Magnetic moment ... 0.00 μB per formula unit
Crystal system ... orthorhombic

---

Which one is most stable, and which one is least stable? Q) is the most stable of them, while P) is the least stable.

---

P) Material: Nd6Al3Zn
Method: DFT, GGA-PBE
State: relaxed

abc: 8.3645 7.8359 8.9509
angles: 90.00 92.14 90.00
Fractional positions:
Nd1 0.6852 0.1719 0.9243
Nd2 0.6476 0.1451 0.5635
Nd3 0.7543 0.4044 0.2662
Nd4 0.2457 0.5956 0.7338
Nd5 0.3524 0.8549 0.4365
Nd6 0.3148 0.8281 0.0757
Nd7 0.1852 0.3281 0.4243
Nd8 0.1476 0.3549 0.0635
Nd9 0.2543 0.0956 0.7662
Nd10 0.7457 0.9044 0.2338
Nd11 0.8524 0.6451 0.9365
Nd12 0.8148 0.6719 0.5757
Al1 0.5436 0.8296 0.7875
Al2 0.5000 0.5000 0.0000
Al3 0.4564 0.1704 0.2125
Al4 0.0436 0.6704 0.2875
Al5 0.0000 0.0000 0.5000
Al6 0.9564 0.3296 0.7125
Zn1 0.5000 0.5000 0.5000
Zn2 0.0000 0.0000 0.0000

## Properties
Magnetic moment ... 0.00 μB per formula unit
Crystal system ... monoclinic

---

Q) Material: Nd6Al3Zn
Method: DFT, GGA-PBE
State: relaxed

abc: 5.2477 9.3673 11.7519
angles: 108.68 90.00 90.00
Fractional positions:
Nd1 0.2500 0.4624 0.0876
Nd2 0.7500 0.5376 0.9124
Nd3 0.2500 0.1273 0.1476
Nd4 0.7500 0.8727 0.8524
Nd5 0.2500 0.6607 0.6693
Nd6 0.7500 0.3393 0.3307
Nd7 0.2500 0.2504 0.5020
Nd8 0.7500 0.7496 0.4980
Nd9 0.2500 0.8395 0.3089
Nd10 0.7500 0.1605 0.6911
Nd11 0.2500 0.1065 0.8694
Nd12 0.7500 0.8935 0.1306
Al1 0.2500 0.5330 0.3749
Al2 0.7500 0.4670 0.6251
Al3 0.2500 0.3874 0.7807
Al4 0.7500 0.6126 0.2193
Al5 0.2500 0.7677 0.9702
Al6 0.7500 0.2323 0.0298
Zn1 0.2500 0.9602 0.5926
Zn2 0.7500 0.0398 0.4074

## Properties
Magnetic moment ... 0.00 μB per formula unit
Crystal system ... monoclinic

---

Which one is most stable, and which one is least stable? Q) is the most stable of them, while P) is the least stable.

---

P) Material: Nd8AlZn2
Method: DFT, GGA-PBE
State: relaxed

abc: 5.0805 8.5560 8.9870
angles: 118.43 106.42 90.00
Fractional positions:
Nd1 0.6616 0.8860 0.3233
Nd2 0.3383 0.5627 0.6767
Nd3 0.1373 0.1373 0.2745
Nd4 0.0000 0.3152 0.0000
Nd5 0.8627 0.8627 0.7255
Nd6 0.6617 0.4373 0.3233
Nd7 0.3384 0.1140 0.6767
Nd8 0.0000 0.6848 0.0000
Al1 0.5000 0.0000 0.0000
Zn1 0.1927 0.6927 0.3855
Zn2 0.8073 0.3073 0.6145

## Properties
Magnetic moment ... 0.00 μB per formula unit
Crystal system ... orthorhombic

---

Q) Material: Nd8AlZn2
Method: DFT, GGA-PBE
State: relaxed

abc: 5.2072 7.4076 9.5015
angles: 109.94 105.90 90.00
Fractional positions:
Nd1 0.4090 0.5360 0.8180
Nd2 0.6718 0.9765 0.3435
Nd3 0.8063 0.6943 0.6126
Nd4 0.9740 0.2272 0.9479
Nd5 0.1937 0.3057 0.3874
Nd6 0.3282 0.0235 0.6565
Nd7 0.5910 0.4640 0.1820
Nd8 0.0260 0.7728 0.0521
Al1 0.5000 0.0000 0.0000
Zn1 0.8214 0.3059 0.6427
Zn2 0.1786 0.6941 0.3573

## Properties
Magnetic moment ... 0.00 μB per formula unit
Crystal system ... monoclinic

---

Which one is most stable, and which one is least stable? Q) is the most stable of them, while P) is the least stable.

---

P) Material: Nd2AlZn6
Method: DFT, GGA-PBE
State: relaxed

abc: 3.9740 6.9711 8.1308
angles: 115.38 104.15 90.00
Fractional positions:
Nd1 0.8796 0.8796 0.7592
Nd2 0.1204 0.1204 0.2408
Al1 0.0000 0.5000 0.0000
Zn1 0.6835 0.8634 0.3669
Zn2 0.3165 0.1366 0.6331
Zn3 0.3165 0.4964 0.6331
Zn4 0.5000 0.2629 0.0000
Zn5 0.5000 0.7371 0.0000
Zn6 0.6835 0.5036 0.3669

## Properties
Magnetic moment ... 0.00 μB per formula unit
Crystal system ... orthorhombic

---

Q) Material: Nd2AlZn6
Method: DFT, GGA-PBE
State: relaxed

abc: 5.8644 5.8488 5.8505
angles: 119.99 89.99 90.00
Fractional positions:
Nd1 0.8472 0.6667 0.3334
Nd2 0.1528 0.3333 0.6666
Al1 0.0000 0.0000 0.0000
Zn1 0.3412 0.3556 0.1778
Zn2 0.3413 0.8221 0.6443
Zn3 0.3412 0.8221 0.1778
Zn4 0.6588 0.6444 0.8222
Zn5 0.6587 0.1779 0.3557
Zn6 0.6588 0.1779 0.8222

## Properties
Magnetic moment ... 0.00 μB per formula unit
Crystal system ... trigonal

---

Which one is most stable, and which one is least stable? Q) is the most stable of them, while P) is the least stable.

---

P) Material: Nd2AlZn3
Method: DFT, GGA-PBE
State: relaxed

abc: 3.9921 4.4145 8.3771
angles: 105.28 103.78 90.00
Fractional positions:
Nd1 0.1259 0.1259 0.2519
Nd2 0.8748 0.3748 0.7495
Al1 0.4602 0.9602 0.9205
Zn1 0.7031 0.7031 0.4062
Zn2 0.5404 0.5404 0.0809
Zn3 0.2955 0.7955 0.5911

## Properties
Magnetic moment ... 0.00 μB per formula unit
Crystal system ... orthorhombic

---

Q) Material: Nd2AlZn3
Method: DFT, GGA-PBE
State: relaxed

abc: 5.9146 5.9146 8.7175
angles: 105.99 105.99 100.83
Fractional positions:
Nd1 0.2500 0.7500 0.5000
Nd2 0.7611 0.7611 0.0000
Nd3 0.7500 0.2500 0.5000
Nd4 0.2389 0.2389 0.0000
Al1 0.6647 0.6647 0.3293
Al2 0.3353 0.3353 0.6707
Zn1 0.3357 0.8299 0.1656
Zn2 0.1701 0.6643 0.8344
Zn3 0.6643 0.1701 0.8344
Zn4 0.8299 0.3357 0.1656
Zn5 0.1677 0.1677 0.3355
Zn6 0.8323 0.8323 0.6645

## Properties
Magnetic moment ... 0.00 μB per formula unit
Crystal system ... orthorhombic

---

Which one is most stable, and which one is least stable? Q) is the most stable of them, while P) is the least stable.